Ni6IrRh2 | PBE | relaxed

Cell: 4.492 4.492 6.264 Å, 106.07 106.07 72.13°
Atoms (fractional coordinates):
Ni (0.158, 0.716, 0.788)
Ni (0.168, 0.168, 0.586)
Ni (0.284, 0.842, 0.212)
Ni (0.716, 0.158, 0.788)
Ni (0.832, 0.832, 0.414)
Ni (0.842, 0.284, 0.212)
Ir (0.500, 0.500, 0.500)
Rh (0.277, 0.277, 0.026)
Rh (0.723, 0.723, 0.974)

---

Ni6IrRh3 | PBE | relaxed

Cell: 6.815 4.180 9.275 Å, 90.00 91.36 90.00°
Atoms (fractional coordinates):
Ni (0.084, 0.250, 0.056)
Ni (0.109, 0.750, 0.480)
Ni (0.171, 0.250, 0.329)
Ni (0.183, 0.750, 0.762)
Ni (0.339, 0.250, 0.871)
Ni (0.385, 0.750, 0.298)
Ni (0.615, 0.250, 0.702)
Ni (0.661, 0.750, 0.129)
Ni (0.817, 0.250, 0.238)
Ni (0.829, 0.750, 0.671)
Ni (0.891, 0.250, 0.520)
Ni (0.916, 0.750, 0.944)
Ir (0.035, 0.750, 0.205)
Ir (0.965, 0.250, 0.795)
Rh (0.246, 0.250, 0.607)
Rh (0.327, 0.750, 0.024)
Rh (0.470, 0.750, 0.588)
Rh (0.530, 0.250, 0.412)
Rh (0.673, 0.250, 0.976)
Rh (0.754, 0.750, 0.393)

---

Ni2IrRh | PBE | relaxed

Cell: 2.676 3.564 5.331 Å, 90.00 90.00 90.00°
Atoms (fractional coordinates):
Ni (0.000, 0.000, 0.246)
Ni (0.000, 0.000, 0.754)
Ir (0.500, 0.500, 0.000)
Rh (0.500, 0.500, 0.500)

---

Ni4Ir3Rh2 | PBE | relaxed

Cell: 7.200 6.086 5.172 Å, 79.06 56.09 44.85°
Atoms (fractional coordinates):
Ni (0.047, 0.334, 0.666)
Ni (0.334, 0.047, 0.953)
Ni (0.666, 0.953, 0.047)
Ni (0.953, 0.666, 0.334)
Ir (0.000, 0.000, 0.000)
Ir (0.000, 0.000, 0.500)
Ir (0.500, 0.500, 0.000)
Rh (0.383, 0.383, 0.617)
Rh (0.617, 0.617, 0.383)

---

Ni5IrRh3 | PBE | relaxed

Cell: 7.729 7.729 7.729 Å, 132.25 132.25 69.84°
Atoms (fractional coordinates):
Ni (0.000, 0.000, 0.000)
Ni (0.075, 0.575, 0.954)
Ni (0.122, 0.075, 0.500)
Ni (0.378, 0.878, 0.954)
Ni (0.425, 0.378, 0.500)
Ni (0.500, 0.500, 0.000)
Ni (0.575, 0.622, 0.500)
Ni (0.622, 0.122, 0.046)
Ni (0.878, 0.925, 0.500)
Ni (0.925, 0.425, 0.046)
Ir (0.250, 0.750, 0.500)
Ir (0.750, 0.250, 0.500)
Rh (0.129, 0.371, 0.500)
Rh (0.250, 0.250, 0.000)
Rh (0.371, 0.871, 0.241)
Rh (0.629, 0.129, 0.759)
Rh (0.750, 0.750, 0.000)
Rh (0.871, 0.629, 0.500)

---

Ni8Ir2Rh3 | PBE | relaxed

Cell: 6.364 6.364 4.779 Å, 100.34 100.34 65.57°
Atoms (fractional coordinates):
Ni (0.101, 0.101, 0.413)
Ni (0.110, 0.478, 0.260)
Ni (0.312, 0.312, 0.733)
Ni (0.478, 0.110, 0.260)
Ni (0.522, 0.890, 0.740)
Ni (0.688, 0.688, 0.267)
Ni (0.890, 0.522, 0.740)
Ni (0.899, 0.899, 0.587)
Ir (0.118, 0.118, 0.920)
Ir (0.882, 0.882, 0.080)
Rh (0.312, 0.688, 0.000)
Rh (0.500, 0.500, 0.500)
Rh (0.688, 0.312, 0.000)

---

NiIrRh2 | PBE | relaxed

Cell: 2.693 4.534 4.554 Å, 90.00 90.00 90.00°
Atoms (fractional coordinates):
Ni (0.000, 0.000, 0.000)
Ir (0.500, 0.500, 0.000)
Rh (0.000, 0.500, 0.500)
Rh (0.500, 0.000, 0.500)

---

Ni2IrRh | PBE | relaxed

Cell: 4.156 4.156 4.156 Å, 60.00 60.00 60.00°
Atoms (fractional coordinates):
Ni (0.250, 0.250, 0.250)
Ni (0.750, 0.750, 0.750)
Ir (0.000, 0.000, 0.000)
Rh (0.500, 0.500, 0.500)

---

NiIr9Rh2 | PBE | relaxed

Cell: 3.853 3.853 11.519 Å, 90.00 90.00 90.00°
Atoms (fractional coordinates):
Ni (0.000, 0.000, 0.000)
Ir (0.000, 0.500, 0.164)
Ir (0.000, 0.500, 0.500)
Ir (0.000, 0.500, 0.836)
Ir (0.500, 0.000, 0.164)
Ir (0.500, 0.000, 0.500)
Ir (0.500, 0.000, 0.836)
Ir (0.500, 0.500, 0.000)
Ir (0.500, 0.500, 0.333)
Ir (0.500, 0.500, 0.667)
Rh (0.000, 0.000, 0.330)
Rh (0.000, 0.000, 0.670)

---

NiIr2Rh2 | PBE | relaxed

Cell: 7.105 7.105 7.105 Å, 157.96 149.24 38.16°
Atoms (fractional coordinates):
Ni (0.000, 0.000, 0.000)
Ir (0.404, 0.404, 0.000)
Ir (0.596, 0.596, 0.000)
Rh (0.197, 0.197, 0.000)
Rh (0.803, 0.803, 0.000)

---

NiIr2Rh8 | PBE | relaxed

Cell: 6.907 6.907 4.652 Å, 104.43 104.43 120.82°
Atoms (fractional coordinates):
Ni (0.000, 0.000, 0.000)
Ir (0.306, 0.694, 0.500)
Ir (0.694, 0.306, 0.500)
Rh (0.099, 0.327, 0.640)
Rh (0.210, 0.790, 0.000)
Rh (0.327, 0.099, 0.640)
Rh (0.408, 0.408, 0.189)
Rh (0.592, 0.592, 0.811)
Rh (0.673, 0.901, 0.360)
Rh (0.790, 0.210, 0.000)
Rh (0.901, 0.673, 0.360)

---

Ni4Ir3Rh12 | PBE | relaxed

Cell: 7.849 7.849 7.849 Å, 109.47 109.47 109.47°
Atoms (fractional coordinates):
Ni (0.000, 0.000, 0.500)
Ni (0.000, 0.500, 0.000)
Ni (0.500, 0.000, 0.000)
Ni (0.500, 0.500, 0.500)
Ir (0.000, 0.500, 0.500)
Ir (0.500, 0.000, 0.500)
Ir (0.500, 0.500, 0.000)
Rh (0.096, 0.357, 0.739)
Rh (0.261, 0.618, 0.357)
Rh (0.261, 0.904, 0.643)
Rh (0.357, 0.261, 0.618)
Rh (0.357, 0.739, 0.096)
Rh (0.382, 0.643, 0.739)
Rh (0.618, 0.357, 0.261)
Rh (0.643, 0.261, 0.904)
Rh (0.643, 0.739, 0.382)
Rh (0.739, 0.096, 0.357)
Rh (0.739, 0.382, 0.643)
Rh (0.904, 0.643, 0.261)

---

NiIrRh2 | PBE | relaxed

Cell: 9.014 9.014 9.014 Å, 156.25 156.25 33.83°
Atoms (fractional coordinates):
Ni (0.000, 0.000, 0.000)
Ni (0.750, 0.250, 0.500)
Ir (0.250, 0.750, 0.500)
Ir (0.500, 0.500, 0.000)
Rh (0.116, 0.625, 0.991)
Rh (0.375, 0.366, 0.491)
Rh (0.634, 0.125, 0.009)
Rh (0.875, 0.884, 0.509)

---

Ni4IrRh5 | PBE | relaxed

Cell: 6.289 6.289 6.289 Å, 140.85 102.24 90.71°
Atoms (fractional coordinates):
Ni (0.160, 0.160, 0.000)
Ni (0.329, 0.500, 0.829)
Ni (0.671, 0.500, 0.171)
Ni (0.840, 0.840, 0.000)
Ir (0.000, 0.500, 0.500)
Rh (0.093, 0.758, 0.335)
Rh (0.423, 0.758, 0.665)
Rh (0.500, 0.000, 0.500)
Rh (0.577, 0.242, 0.335)
Rh (0.907, 0.242, 0.665)

---

NiIrRh2 | PBE | relaxed

Cell: 4.291 4.291 4.291 Å, 60.00 60.00 60.00°
Atoms (fractional coordinates):
Ni (0.000, 0.000, 0.000)
Ir (0.500, 0.500, 0.500)
Rh (0.250, 0.250, 0.250)
Rh (0.750, 0.750, 0.750)

---

Ni7IrRh2 | PBE | relaxed

Cell: 8.324 8.324 6.225 Å, 111.77 111.77 17.90°
Atoms (fractional coordinates):
Ni (0.000, 0.000, 0.000)
Ni (0.288, 0.288, 0.370)
Ni (0.540, 0.540, 0.380)
Ni (0.582, 0.582, 0.794)
Ni (0.647, 0.647, 0.211)
Ni (0.740, 0.740, 0.992)
Ni (0.830, 0.830, 0.742)
Ir (0.182, 0.182, 0.603)
Rh (0.384, 0.384, 0.123)
Rh (0.939, 0.939, 0.548)

---

Ni5Ir2Rh4 | PBE | relaxed

Cell: 6.543 6.543 6.155 Å, 94.80 94.80 34.81°
Atoms (fractional coordinates):
Ni (0.000, 0.000, 0.000)
Ni (0.278, 0.278, 0.584)
Ni (0.398, 0.398, 0.901)
Ni (0.602, 0.602, 0.099)
Ni (0.722, 0.722, 0.416)
Ir (0.085, 0.085, 0.392)
Ir (0.915, 0.915, 0.608)
Rh (0.239, 0.239, 0.134)
Rh (0.435, 0.435, 0.316)
Rh (0.565, 0.565, 0.684)
Rh (0.761, 0.761, 0.866)

---

Ni2Ir5Rh | PBE | relaxed

Cell: 7.042 7.042 7.042 Å, 125.43 125.43 80.82°
Atoms (fractional coordinates):
Ni (0.141, 0.641, 0.781)
Ni (0.359, 0.141, 0.500)
Ni (0.641, 0.859, 0.500)
Ni (0.859, 0.359, 0.219)
Ir (0.000, 0.000, 0.000)
Ir (0.011, 0.808, 0.500)
Ir (0.192, 0.692, 0.203)
Ir (0.308, 0.511, 0.500)
Ir (0.489, 0.989, 0.797)
Ir (0.500, 0.500, 0.000)
Ir (0.511, 0.011, 0.203)
Ir (0.692, 0.489, 0.500)
Ir (0.808, 0.308, 0.797)
Ir (0.989, 0.192, 0.500)
Rh (0.250, 0.250, 0.000)
Rh (0.750, 0.750, 0.000)

---

Ni2IrRh | PBE | relaxed

Cell: 2.681 3.697 5.151 Å, 90.00 90.00 90.00°
Atoms (fractional coordinates):
Ni (0.000, 0.000, 0.000)
Ni (0.500, 0.500, 0.241)
Ir (0.000, 0.000, 0.488)
Rh (0.500, 0.500, 0.747)

---

Ni4Ir2Rh5 | PBE | relaxed

Cell: 6.681 2.668 8.492 Å, 90.00 97.36 90.00°
Atoms (fractional coordinates):
Ni (0.182, 0.000, 0.392)
Ni (0.260, 0.000, 0.933)
Ni (0.740, 0.000, 0.067)
Ni (0.818, 0.000, 0.608)
Ir (0.082, 0.500, 0.142)
Ir (0.918, 0.500, 0.858)
Rh (0.167, 0.500, 0.648)
Rh (0.467, 0.500, 0.185)
Rh (0.500, 0.500, 0.500)
Rh (0.533, 0.500, 0.815)
Rh (0.833, 0.500, 0.352)

---

| no. | calculated formation energy (eV per formula unit) | energy (eV/atom) |
| --- | --- | --- |
| 1 | 1.82 | -6.271 |
| 2 | 1.79 | -6.382 |
| 3 | 0.19 | -6.897 |
| 4 | 2.84 | -6.841 |
| 5 | 4.48 | -6.149 |
| 6 | 3.23 | -6.369 |
| 7 | 0.95 | -7.098 |
| 8 | 0.54 | -6.810 |
| 9 | 0.26 | -8.331 |
| 10 | 0.03 | -7.636 |
| 11 | 3.40 | -7.174 |
| 12 | 13.05 | -6.573 |
| 13 | 1.75 | -6.898 |
| 14 | 4.30 | -6.445 |
| 15 | 1.24 | -7.025 |
| 16 | 0.92 | -6.311 |
| 17 | 2.38 | -6.696 |
| 18 | 2.33 | -7.611 |
| 19 | 0.09 | -6.921 |
| 20 | 2.28 | -6.848 |